Record 1
# ScTlTc2

A geometry-optimized ScTlTc2 structure (PBE, Alexandria via LeMat-Bulk).

Calculated values
- calculated volume (A^3/atom) = 18.21
- mass density (g/cm3) = 10.151
- magnetic moment (Bohr magnetons per cell) = 0.00

Unit cell a=3.0691 b=3.0691 c=26.7916 alpha=90.00 beta=90.00 gamma=120.00
With the nearest neighbours (Å) after each atom.
Space group R-3m (No. 166, hexagonal axes)
Symmetry-distinct sites (fractional):
Sc1 0.0000 0.0000 0.0000 (multiplicity 3)  6 Tc 2.81, 6 Sc 3.07
Tl1 0.0000 0.0000 0.5000 (multiplicity 3)  6 Tc 2.89, 6 Tl 3.07
Tc1 0.0000 0.0000 0.2520 (multiplicity 6)  3 Sc 2.81, 3 Tl 2.89, 6 Tc 3.07

***

Record 2
# ScTlTc3

A geometry-optimized ScTlTc3 structure (PBE, Alexandria via LeMat-Bulk).

Calculated values
- calculated volume (A^3/atom) = 24.18
- mass density (g/cm3) = 7.462
- magnetic moment (Bohr magnetons per cell) = 4.37

Unit cell a=4.9448 b=4.9448 c=4.9448 alpha=90.00 beta=90.00 gamma=90.00
With the nearest neighbours (Å) after each atom.
Space group Pm-3m (No. 221)
Symmetry-distinct sites (fractional):
Sc1 0.0000 0.0000 0.0000 (multiplicity 1)  12 Tc 3.50
Tl1 0.5000 0.5000 0.5000 (multiplicity 1)  6 Tc 2.47
Tc1 0.0000 0.5000 0.5000 (multiplicity 3)  2 Tl 2.47

***

Listing ΔH_f (0 K) for the structures above in their given order: 0.4931 2.1339 eV per atom.